(1)
Entry from Alexandria: Al2Zn2Bi after structural relaxation (PBE-GGA).

Cell and atoms, written as extended XYZ:
```
10
Lattice="-6.370 -0.550 -4.545 -1.980 -6.691 3.584 -1.704 1.675 2.185" Properties=species:S:1:pos:R:3 pbc="T T T"
Al -3.266 -0.515 0.247
Al -6.787 -5.051 0.978
Al -3.307 -3.779 2.716
Al -6.746 -1.787 -1.492
Zn -6.838 -4.625 -1.787
Zn -4.177 -1.135 -2.387
Zn -4.173 -6.105 1.426
Zn -1.512 -2.616 0.826
Bi -4.175 -3.620 -0.480
Bi 0.000 0.000 0.000
```

Space group: P4/mbm (127)
Total magnetization: 0.00 μB/cell
Fermi-level density of states: 4.257 states/eV/cell
ΔE to the lowest computed polymorph: 0.0749 eV per atom
Calculated formation energy: 179 meV per atom

---

(2)
Entry from Alexandria: HfIrRu2 after structural relaxation (PBE-GGA).

Cell and atoms, written as extended XYZ:
```
4
Lattice="3.995 0.000 0.000 0.000 3.937 0.000 0.000 0.000 3.937" Properties=species:S:1:pos:R:3 pbc="T T T"
Ir 1.998 0.000 0.000
Ru 0.000 1.968 0.000
Ru 0.000 0.000 1.968
Hf 1.998 1.968 1.968
```

Space group: P4/mmm (123)
Total magnetization: 0.00 μB/cell
Fermi-level density of states: 4.830 states/eV/cell
ΔE to the lowest computed polymorph: 0.0000 eV per atom
Calculated formation energy: -426 meV per atom

---

Look up the Fermi-level density of states of the first one. 4.257 states/eV/cell